(1)
The following is a PBEsol calculation of a geometry-optimized BaFeRh structure, from the Alexandria database.

Cell and atoms, written as CIF:
```
data_BaFeRh
_chemical_formula_sum 'Ba1 Fe1 Rh1'
_cell_length_a 4.0951
_cell_length_b 4.0951
_cell_length_c 4.8473
_cell_angle_alpha 90.00
_cell_angle_beta 90.00
_cell_angle_gamma 120.00
_space_group_name_H-M_alt 'P -6 m 2'
_space_group_IT_number 187
_space_group_name_Hall 'P -6 2'
loop_
_atom_site_label
_atom_site_fract_x
_atom_site_fract_y
_atom_site_fract_z
Ba1 0.0000 0.0000 0.0000
Fe1 0.3333 0.6667 0.5000
Rh1 0.6667 0.3333 0.5000
```

- Offset from the most stable computed form: 0.0 meV per atom
- Formation energy from the elements: 83.1 kJ/mol of formula units



(2)
The following is a PBEsol calculation of a geometry-optimized YB2C structure, from the Alexandria database.

Cell and atoms, written as CIF:
```
data_YB2C
_chemical_formula_sum 'Y8 B16 C8'
_cell_length_a 6.7659
_cell_length_b 6.7659
_cell_length_c 7.3576
_cell_angle_alpha 90.00
_cell_angle_beta 90.00
_cell_angle_gamma 90.00
_space_group_name_H-M_alt 'P 42/m b c'
_space_group_IT_number 135
_space_group_name_Hall '-P 4c 2ab'
loop_
_atom_site_label
_atom_site_fract_x
_atom_site_fract_y
_atom_site_fract_z
Y1 0.1904 0.3096 0.2500
B1 0.0342 0.8488 0.0000
B2 0.0943 0.5969 0.0000
C1 0.0408 0.8222 0.5000
```

- Formation energy from the elements: -231.5 kJ/mol of formula units



(3)
The following is a PBEsol calculation of a geometry-optimized NaLi2Ru6O12 structure, from the Alexandria database.

Cell and atoms, written as CIF:
```
data_NaLi2Ru6O12
_chemical_formula_sum 'Na2 Li4 Ru12 O24'
_cell_length_a 5.5168
_cell_length_b 9.3399
_cell_length_c 9.6920
_cell_angle_alpha 118.63
_cell_angle_beta 105.74
_cell_angle_gamma 90.84
_space_group_name_H-M_alt 'P -1'
_space_group_IT_number 2
loop_
_space_group_symop_operation_xyz
'x,y,z'
'-x,-y,-z'
loop_
_atom_site_label
_atom_site_fract_x
_atom_site_fract_y
_atom_site_fract_z
Na1 0.2447 0.0171 0.4926
Li1 0.0551 0.6618 0.8302
Li2 0.4563 0.3345 0.1662
Ru1 0.0684 0.9752 0.8399
Ru2 0.1411 0.6378 0.4808
Ru3 0.1738 0.6648 0.1416
Ru4 0.2815 0.3439 0.8609
Ru5 0.4054 0.3562 0.5205
Ru6 0.4766 0.0148 0.1606
O1 0.0409 0.7266 0.3275
O2 0.0699 0.2043 0.4016
O3 0.1425 0.4138 0.0526
O4 0.1803 0.1198 0.0931
O5 0.1906 0.5263 0.6250
O6 0.2145 0.9017 0.1966
O7 0.2545 0.1010 0.7736
O8 0.3141 0.4479 0.3627
O9 0.3349 0.8568 0.9065
O10 0.3640 0.5983 0.9738
O11 0.4237 0.8298 0.5971
O12 0.4797 0.2992 0.7030
```

- Uncorrected formation energy: -1.202 eV/atom
- Offset from the most stable computed form: 0.0 meV per atom



(4)
The following is a PBEsol calculation of a geometry-optimized CaZn2Cl structure, from the Alexandria database.

Cell and atoms, written as CIF:
```
data_CaZn2Cl
_chemical_formula_sum 'Ca1 Zn2 Cl1'
_cell_length_a 3.7897
_cell_length_b 3.7897
_cell_length_c 5.9466
_cell_angle_alpha 90.00
_cell_angle_beta 90.00
_cell_angle_gamma 90.00
_space_group_name_H-M_alt 'P 4/m m m'
_space_group_IT_number 123
_space_group_name_Hall '-P 4 2'
loop_
_atom_site_label
_atom_site_fract_x
_atom_site_fract_y
_atom_site_fract_z
Ca1 0.0000 0.0000 0.0000
Zn1 0.0000 0.5000 0.5000
Cl1 0.5000 0.5000 0.0000
```

- Uncorrected formation energy: -0.603 eV/atom



(5)
The following is a PBEsol calculation of a geometry-optimized BeCrAg2 structure, from the Alexandria database.

Cell and atoms, written as CIF:
```
data_BeCrAg2
_chemical_formula_sum 'Be1 Cr1 Ag2'
_cell_length_a 3.9224
_cell_length_b 3.9224
_cell_length_c 3.7662
_cell_angle_alpha 90.00
_cell_angle_beta 90.00
_cell_angle_gamma 90.00
_space_group_name_H-M_alt 'P 4/m m m'
_space_group_IT_number 123
_space_group_name_Hall '-P 4 2'
loop_
_atom_site_label
_atom_site_fract_x
_atom_site_fract_y
_atom_site_fract_z
Be1 0.0000 0.0000 0.0000
Cr1 0.5000 0.5000 0.0000
Ag1 0.0000 0.5000 0.5000
```

- Formation energy from the elements: 176.1 kJ/mol of formula units



(6)
The following is a PBEsol calculation of a geometry-optimized Hg2Pt structure, from the Alexandria database.

Cell and atoms, written as CIF:
```
data_Hg2Pt
_chemical_formula_sum 'Hg8 Pt4'
_cell_length_a 2.9129
_cell_length_b 13.6847
_cell_length_c 6.8873
_cell_angle_alpha 90.00
_cell_angle_beta 90.00
_cell_angle_gamma 90.00
_space_group_name_H-M_alt 'C m c 21'
_space_group_IT_number 36
loop_
_space_group_symop_operation_xyz
'x,y,z'
'-x,-y,z+1/2'
'-x,y,z'
'x,-y,z+1/2'
'x+1/2,y+1/2,z'
'-x+1/2,-y+1/2,z+1/2'
'-x+1/2,y+1/2,z'
'x+1/2,-y+1/2,z+1/2'
loop_
_atom_site_label
_atom_site_fract_x
_atom_site_fract_y
_atom_site_fract_z
Hg1 0.0000 0.0047 0.0000
Hg2 0.0000 0.2461 0.5194
Pt1 0.0000 0.3845 0.2443
```

- Offset from the most stable computed form: 61.0 meV per atom
- Formation energy from the elements: -6.2 kJ/mol of formula units